(1)
KGePd, optimized geometry, DFT GGA-PBE; volume = 156 Å³/cell; excess energy over the best structure of this formula in the dataset = 0.0 kJ per mole of atoms; space-group type = No. 129
1.0
4.5879 0.0000 0.0000
0.0000 4.5879 0.0000
0.0000 0.0000 7.4101
K Ge Pd
2 2 2
Cartesian
1.1470 1.1470 1.1693 K
3.4409 3.4409 6.2408 K
1.1470 1.1470 4.7891 Ge
3.4409 3.4409 2.6210 Ge
1.1470 3.4409 3.7051 Pd
3.4409 1.1470 3.7051 Pd

(2)
SrCuSi, optimized geometry, DFT GGA-PBE; ΔE_f (raw) = -0.35 eV per atom; volume = 137 Å³/cell; space-group type = No. 194
1.0
4.1127 0.0000 0.0000
-2.0563 3.5617 0.0000
0.0000 0.0000 9.3831
Sr Cu Si
2 2 2
Cartesian
0.0000 0.0000 0.0000 Sr
0.0000 0.0000 4.6915 Sr
0.0000 2.3745 2.3458 Cu
2.0563 1.1872 7.0373 Cu
0.0000 2.3745 7.0373 Si
2.0563 1.1872 2.3458 Si

Q: Which formula does entry 1 have?
A: KGePd